A plane-wave DFT calculation with PBE was carried out for Nd6HoIn2 after structural relaxation.

Cell and atoms, written as POSCAR:
```
Nd6HoIn2
1.0
9.409 -6.122 0.000
9.409 6.122 0.000
0.000 0.000 5.183
Nd Ho In
12 2 4
direct
0.005 0.176 0.250
0.031 0.365 0.750
0.176 0.005 0.750
0.281 0.523 0.750
0.365 0.031 0.250
0.477 0.719 0.750
0.523 0.281 0.250
0.635 0.969 0.750
0.719 0.477 0.250
0.824 0.995 0.250
0.969 0.635 0.250
0.995 0.824 0.750
0.217 0.783 0.250
0.783 0.217 0.750
0.209 0.358 0.250
0.358 0.209 0.750
0.642 0.791 0.250
0.791 0.642 0.750
```

Output
Crystal system ... orthorhombic
Excess energy over the best structure of this formula in the dataset ... 103.5 kJ/mol of formula units
ΔH_f (0 K) ... -78 meV per atom
Space-group type ... Cmcm (63)

A plane-wave DFT calculation with PBE was carried out for Er2MgPb after structural relaxation.

Cell and atoms, written as POSCAR:
```
Er2MgPb
1.0
3.903 0.000 0.000
0.000 3.903 0.000
0.000 0.000 7.055
Er Mg Pb
2 1 1
direct
0.000 0.000 0.248
0.000 0.000 0.752
0.500 0.500 0.000
0.500 0.500 0.500
```

Output
Crystal system ... tetragonal
ΔH_f (0 K) ... -256 meV per atom
Space-group type ... P4/mmm (123)

A plane-wave DFT calculation with PBE was carried out for La6MgCo2 after structural relaxation.

Cell and atoms, written as POSCAR:
```
La6MgCo2
1.0
-4.775 5.212 5.305
4.775 -5.212 5.305
4.775 5.212 -5.305
La Mg Co
12 2 4
direct
0.020 0.225 0.795
0.173 0.300 0.473
0.173 0.700 0.874
0.329 0.011 0.683
0.329 0.646 0.317
0.430 0.225 0.205
0.570 0.775 0.795
0.671 0.354 0.683
0.671 0.989 0.317
0.827 0.300 0.126
0.827 0.700 0.527
0.980 0.775 0.205
0.000 0.000 0.000
0.500 0.500 0.000
0.142 0.642 0.500
0.280 0.000 0.280
0.720 0.000 0.720
0.858 0.358 0.500
```

Output
Crystal system ... orthorhombic
Excess energy over the best structure of this formula in the dataset ... 0.0 kJ/mol of formula units
ΔH_f (0 K) ... -114 meV per atom
Space-group type ... Immm (71)

A plane-wave DFT calculation with PBE was carried out for La2PaSe5 after structural relaxation.

Cell and atoms, written as POSCAR:
```
La2PaSe5
1.0
12.618 0.000 0.000
0.000 8.568 0.000
0.000 0.000 7.932
La Pa Se
8 4 20
direct
0.177 0.000 0.030
0.177 0.500 0.030
0.323 0.000 0.530
0.323 0.500 0.530
0.677 0.000 0.470
0.677 0.500 0.470
0.823 0.000 0.970
0.823 0.500 0.970
0.007 0.250 0.571
0.493 0.750 0.071
0.507 0.250 0.929
0.993 0.750 0.429
0.001 0.250 0.952
0.094 0.542 0.666
0.094 0.958 0.666
0.186 0.250 0.335
0.214 0.750 0.310
0.286 0.250 0.810
0.314 0.750 0.835
0.406 0.042 0.166
0.406 0.458 0.166
0.499 0.750 0.452
0.501 0.250 0.548
0.594 0.542 0.834
0.594 0.958 0.834
0.686 0.250 0.165
0.714 0.750 0.190
0.786 0.250 0.690
0.814 0.750 0.665
0.906 0.042 0.334
0.906 0.458 0.334
0.999 0.750 0.048
```

Output
Crystal system ... orthorhombic
Excess energy over the best structure of this formula in the dataset ... 0.0 kJ/mol of formula units
Formation energy without anion corrections ... -1.82 eV/atom
Space-group type ... Pnma (62)

A plane-wave DFT calculation with PBE was carried out for AcAlIn after structural relaxation.

Cell and atoms, written as POSCAR:
```
AcAlIn
1.0
2.376 -7.932 0.000
2.376 7.932 0.000
0.000 0.000 5.229
Ac Al In
2 2 2
direct
0.133 0.867 0.750
0.867 0.133 0.250
0.500 0.500 0.000
0.500 0.500 0.500
0.345 0.655 0.750
0.655 0.345 0.250
```

Output
Crystal system ... orthorhombic
Excess energy over the best structure of this formula in the dataset ... 71.2 kJ/mol of formula units
ΔH_f (0 K) ... -187 meV per atom
Space-group type ... Cmcm (63)

A plane-wave DFT calculation with PBE was carried out for Na3Be2Zn2As4 after structural relaxation.

Cell and atoms, written as POSCAR:
```
Na3Be2Zn2As4
1.0
4.043 0.000 0.000
-2.021 3.501 0.000
0.000 0.000 16.199
Na Be Zn As
3 2 2 4
direct
0.000 0.000 0.000
0.000 0.000 0.289
0.000 0.000 0.711
0.333 0.667 0.544
0.667 0.333 0.456
0.333 0.667 0.150
0.667 0.333 0.850
0.333 0.667 0.406
0.333 0.667 0.863
0.667 0.333 0.137
0.667 0.333 0.594
```

Output
Crystal system ... trigonal
ΔH_f (0 K) ... -292 meV per atom
Space-group type ... P-3m1 (164)

| no. | calculated total energy (eV per atom) |
| --- | --- |
| 1 | -4.37 |
| 2 | -3.86 |
| 3 | -5.16 |
| 4 | -6.42 |
| 5 | -3.72 |
| 6 | -3.25 |